# PBEsol ZrTe3C, relaxed
# Theoretical density   4875 kg/m³
# Magnetic moment   1.3 μB per formula unit
# N(E_F)   6.0 states/eV/cell
# Formation energy (no corrections)   1.34 eV/atom
# Total energy   -4.53 eV/atom
data_ZrTe3C
_chemical_formula_sum 'Zr1 Te3 C1'
_symmetry_space_group_name_H-M 'P m -3 m'
_symmetry_Int_Tables_number 221
_symmetry_space_group_name_Hall '-P 4 2 3'
_cell_length_a 5.491
_cell_length_b 5.491
_cell_length_c 5.491
_cell_angle_alpha 90.00
_cell_angle_beta 90.00
_cell_angle_gamma 90.00
loop_
_atom_site_label
_atom_site_type_symbol
_atom_site_fract_x
_atom_site_fract_y
_atom_site_fract_z
Zr1 Zr 0.000 0.000 0.000
Te1 Te 0.000 0.000 0.500
C1 C 0.500 0.500 0.500